(1)
VASP calculation (PBE) on a geometry-optimized SrLi4In structure.

Cell lengths 4.8186, 4.8186, 7.3218 Å; angles 90.12, 90.12, 119.55 degrees
Element x y z (fractional)
Sr  0.0000  0.0000  0.0000
Li  0.3319  0.6660  0.6733
Li  0.3340  0.6681  0.3267
Li  0.6660  0.3319  0.6733
Li  0.6681  0.3340  0.3267
In  0.0000  0.0000  0.5000

Values from the calculation:
Space-group type: C2/m
N(E_F) (states/eV/f.u.): 3.306
Calculated formation energy (eV per atom): -0.1543
Relative energy among the computed polymorphs (eV per atom): 0.0023

***

(2)
VASP calculation (PBE) on a geometry-optimized NdPu2UN4 structure.

Cell lengths 6.0548, 3.5147, 6.1140 Å; angles 90.00, 109.36, 90.00 degrees
Element x y z (fractional)
Nd  0.0000  0.0000  0.0000
Pu  0.5000  0.0000  0.5000
Pu  0.5000  0.5000  0.0000
U  0.0000  0.5000  0.5000
N  0.2385  0.0000  0.7249
N  0.2526  0.5000  0.2790
N  0.7474  0.5000  0.7210
N  0.7615  0.0000  0.2751

Values from the calculation:
Space-group type: P2/m
Formation energy without anion corrections (kJ/mol of formula units): -1010.3
N(E_F) (states/eV/f.u.): 11.718

***

(3)
VASP calculation (PBE) on a geometry-optimized Na2SrHg structure.

Cell lengths 4.8714, 4.8714, 5.7828 Å; angles 90.00, 90.00, 90.00 degrees
Element x y z (fractional)
Na  0.0000  0.5000  0.0000
Na  0.5000  0.0000  0.0000
Sr  0.0000  0.0000  0.5000
Hg  0.5000  0.5000  0.5000

Values from the calculation:
Space-group type: P4/mmm
N(E_F) (states/eV/f.u.): 2.321
Calculated formation energy (eV per atom): -0.1729

***

(4)
VASP calculation (PBE) on a geometry-optimized PrReClO4 structure.

Cell lengths 6.5209, 6.5209, 7.1395 Å; angles 102.41, 102.41, 69.03 degrees
Element x y z (fractional)
Pr  0.2187  0.2187  0.1045
Pr  0.7813  0.7813  0.8955
Re  0.3667  0.3667  0.7193
Re  0.6333  0.6333  0.2807
Cl  0.0101  0.0101  0.7659
Cl  0.9899  0.9899  0.2341
O  0.1273  0.4769  0.8552
O  0.2884  0.2884  0.4704
O  0.4640  0.4640  0.2172
O  0.4769  0.1273  0.8552
O  0.5231  0.8727  0.1448
O  0.5360  0.5360  0.7828
O  0.7116  0.7116  0.5296
O  0.8727  0.5231  0.1448

Values from the calculation:
Space-group type: C2/m
Formation energy without anion corrections (kJ/mol of formula units): -1441.8
N(E_F) (states/eV/f.u.): 3.003

***

(5)
VASP calculation (PBE) on a geometry-optimized SmMgCoAu structure.

Cell lengths 4.8264, 4.8264, 4.8264 Å; angles 60.00, 60.00, 60.00 degrees
Element x y z (fractional)
Sm  0.0000  0.0000  0.0000
Mg  0.5000  0.5000  0.5000
Co  0.7500  0.7500  0.7500
Au  0.2500  0.2500  0.2500

Values from the calculation:
Space-group type: F-43m
N(E_F) (states/eV/f.u.): 2.684
Calculated formation energy (eV per atom): -0.2526

***

(6)
VASP calculation (PBE) on a geometry-optimized KAu2Br structure.

Cell lengths 3.9579, 4.2514, 6.4562 Å; angles 90.00, 90.00, 90.00 degrees
Element x y z (fractional)
K  0.0000  0.0000  0.0000
Au  0.0000  0.5000  0.5000
Au  0.5000  0.0000  0.5000
Br  0.5000  0.5000  0.0000

Values from the calculation:
Space-group type: Pmmm
Formation energy without anion corrections (kJ/mol of formula units): -126.8
N(E_F) (states/eV/f.u.): 0.749
Relative energy among the computed polymorphs (eV per atom): 0.1275

***

| no. | electronic total energy (eV per atom) |
| --- | --- |
| 1 | -2.17 |
| 2 | -11.06 |
| 3 | -1.33 |
| 4 | -7.69 |
| 5 | -4.43 |
| 6 | -2.66 |